# SiSn2Pt2

A relaxed structure of SiSn2Pt2 (PBE, Alexandria).

Unit cell a=3.869 b=3.869 c=7.567 alpha=75.19 beta=75.19 gamma=90.00
Atoms (fractional coordinates):
Pt 0.750 0.250 0.500
Si 0.000 0.000 0.000
Sn 0.610 0.610 0.779
Sn 0.390 0.390 0.221
Pt 0.250 0.750 0.500

Calculated total energy in eV per atom: -5.032
ΔE to the lowest computed polymorph in kJ/mol of atoms: 20.6
Formation energy (no corrections) in meV/atom: 70